(1)
Entry from Alexandria via LeMat-Bulk: a geometry-optimized ErAg2Hg5 structure (GGA-PBE). Values from VASP.

V: 374.1 Å³/cell
energy relative to the elements: -43 kJ/mol of formula units
symmetry: No. 140

```
&SYSTEM
  ibrav = 0, nat = 16, ntyp = 3
/
ATOMIC_SPECIES
Er 167.26 Er.upf
Ag 107.87 Ag.upf
Hg 200.59 Hg.upf
CELL_PARAMETERS angstrom
-3.8321 3.8321 6.3686
3.8321 -3.8321 6.3686
3.8321 3.8321 -6.3686
ATOMIC_POSITIONS angstrom
Er 0.0000 0.0000 3.1843
Er 0.0000 0.0000 9.5528
Ag 4.8942 1.0621 0.0000
Ag 1.0621 2.7700 0.0000
Ag 2.7700 1.0621 6.3686
Ag -1.0621 2.7700 6.3686
Hg 0.0000 0.0000 0.0000
Hg 5.0002 -1.1681 1.9657
Hg 2.6640 -1.1681 4.4029
Hg 2.6640 1.1681 1.9657
Hg 5.0002 1.1681 4.4029
Hg 0.0000 0.0000 6.3686
Hg -1.1681 2.6640 1.9657
Hg 1.1681 2.6640 4.4029
Hg 1.1681 5.0002 1.9657
Hg -1.1681 5.0002 4.4029
```

(2)
Entry from Alexandria via LeMat-Bulk: a geometry-optimized Er2Ag3Hg structure (GGA-PBE). Values from VASP.

V: 143.1 Å³/cell
energy relative to the elements: -108 kJ/mol of formula units
symmetry: No. 44
distance to the lowest polymorph of the same formula: 0.103 eV per atom

```
&SYSTEM
  ibrav = 0, nat = 6, ntyp = 3
/
ATOMIC_SPECIES
Er 167.26 Er.upf
Ag 107.87 Ag.upf
Hg 200.59 Hg.upf
CELL_PARAMETERS angstrom
-1.9263 1.9731 9.4152
1.9263 -1.9731 9.4152
1.9263 1.9731 -9.4152
ATOMIC_POSITIONS angstrom
Er 0.0000 0.0000 0.0000
Er 0.0000 1.9731 4.4752
Ag 1.9263 0.0000 3.1342
Ag 1.9263 0.0000 5.8822
Ag 0.0000 0.0000 10.7210
Hg 0.0000 0.0000 7.8496
```